(1)
Entry from Alexandria: crystalline Ba6Li2Ni at its relaxed geometry (PBE-GGA).

```
Ba6Li2Ni
1.0
7.935 0.000 0.000
0.000 11.026 0.000
-6.710 0.000 10.095
Ba Li Ni
12 4 2
Cartesian
-2.010 1.505 4.716
-5.365 4.008 9.764
-4.004 8.239 9.443
-0.649 8.299 4.395
1.222 0.418 2.059
-2.132 5.095 7.107
3.357 5.930 2.989
0.002 10.608 8.036
1.874 2.726 5.700
5.229 2.786 0.652
6.590 7.017 0.332
3.235 9.521 5.379
-3.769 0.906 8.268
-0.414 4.606 3.221
1.639 6.419 6.875
4.994 10.119 1.827
0.612 0.000 5.048
3.967 5.513 0.000
```


(2)
Entry from Alexandria: crystalline BaLi2Ni at its relaxed geometry (PBE-GGA).

```
BaLi2Ni
1.0
2.232 1.289 5.718
-2.232 1.289 5.718
0.000 -2.577 5.718
Ba Li Ni
1 2 1
Cartesian
0.000 0.000 0.000
0.000 0.000 3.302
0.000 0.000 13.852
0.000 0.000 8.577
```

Computed properties:
The value obtained for the distance to the lowest polymorph of the same formula is 67.8 meV per atom.


(3)
Entry from Alexandria: crystalline BaLiNi at its relaxed geometry (PBE-GGA).

```
BaLiNi
1.0
0.000 3.395 3.395
3.395 0.000 3.395
3.395 3.395 0.000
Ba Li Ni
1 1 1
Cartesian
0.000 0.000 0.000
5.092 5.092 5.092
3.395 3.395 3.395
```

Computed properties:
The value obtained for the distance to the lowest polymorph of the same formula is 380.2 meV per atom.


(4)
Entry from Alexandria: crystalline BaLi2Ni at its relaxed geometry (PBE-GGA).

```
BaLi2Ni
1.0
3.897 -2.250 0.000
3.897 2.250 0.000
-2.612 0.000 5.642
Ba Li Ni
1 2 1
Cartesian
0.000 0.000 0.000
2.594 0.000 3.103
5.194 0.000 2.488
-0.003 0.000 3.382
```

Computed properties:
The value obtained for the distance to the lowest polymorph of the same formula is 0.0 meV per atom.


Which energy belongs to each record? In order, -2.3101, -2.7219, -2.7931, -2.7897 eV per atom.
Which DOS(E_F) belongs to each record? In order, 0.903, 0.458, 0.574, 0.467 states/eV per atom.
Which energy of formation from the pure elements belongs to each record? In order, 0.039, 0.161, 0.413, 0.093 eV/atom.